# 1
# CdMo3F PBE+U relaxed
data_CdMo3F
_chemical_formula_sum 'Cd1 Mo3 F1'
_symmetry_space_group_name_H-M 'P 1'
_symmetry_Int_Tables_number 1
_symmetry_space_group_name_Hall 'P 1'
_cell_length_a 4.311
_cell_length_b 4.311
_cell_length_c 4.311
_cell_angle_alpha 90.00
_cell_angle_beta 90.00
_cell_angle_gamma 90.00
loop_
_atom_site_label
_atom_site_type_symbol
_atom_site_fract_x
_atom_site_fract_y
_atom_site_fract_z
Cd1 Cd 0.000 0.000 0.000
Mo1 Mo 0.000 0.500 0.500
Mo2 Mo 0.500 0.000 0.500
Mo3 Mo 0.500 0.500 0.000
F1 F 0.500 0.500 0.500
# space-group type: Pm-3m, No. 221
# density of states at the Fermi level: 2.3 states/eV/f.u.
# magnetization: 0.0 Bohr magnetons per cell
# E_tot: -3.60 eV/atom
# calculated volume: 16.02 Å³/atom
# relative energy among the computed polymorphs: 0.000 eV per atom



# 2
# CdMo2F PBE+U relaxed
data_CdMo2F
_chemical_formula_sum 'Cd2 Mo4 F2'
_symmetry_space_group_name_H-M 'P 1'
_symmetry_Int_Tables_number 1
_symmetry_space_group_name_Hall 'P 1'
_cell_length_a 7.864
_cell_length_b 7.864
_cell_length_c 7.864
_cell_angle_alpha 137.42
_cell_angle_beta 137.42
_cell_angle_gamma 61.80
loop_
_atom_site_label
_atom_site_type_symbol
_atom_site_fract_x
_atom_site_fract_y
_atom_site_fract_z
Cd1 Cd 0.000 0.000 0.000
Cd2 Cd 0.750 0.250 0.500
Mo1 Mo 0.230 0.625 0.105
Mo2 Mo 0.375 0.480 0.605
Mo3 Mo 0.520 0.125 0.895
Mo4 Mo 0.875 0.770 0.395
F1 F 0.250 0.750 0.500
F2 F 0.500 0.500 0.000
# space-group type: I-42d, No. 122
# density of states at the Fermi level: 2.2 states/eV/f.u.
# magnetization: 18.4 Bohr magnetons per cell
# E_tot: -3.60 eV/atom
# calculated volume: 27.51 Å³/atom
# relative energy among the computed polymorphs: 0.000 eV per atom



# 3
# Cd2MoF2 PBE+U relaxed
data_Cd2MoF2
_chemical_formula_sum 'Cd4 Mo2 F4'
_symmetry_space_group_name_H-M 'P 1'
_symmetry_Int_Tables_number 1
_symmetry_space_group_name_Hall 'P 1'
_cell_length_a 7.921
_cell_length_b 7.921
_cell_length_c 3.096
_cell_angle_alpha 90.00
_cell_angle_beta 90.00
_cell_angle_gamma 90.00
loop_
_atom_site_label
_atom_site_type_symbol
_atom_site_fract_x
_atom_site_fract_y
_atom_site_fract_z
Cd1 Cd 0.139 0.361 0.000
Cd2 Cd 0.361 0.861 0.000
Cd3 Cd 0.639 0.139 0.000
Cd4 Cd 0.861 0.639 0.000
Mo1 Mo 0.000 0.000 0.000
Mo2 Mo 0.500 0.500 0.000
F1 F 0.116 0.616 0.500
F2 F 0.384 0.116 0.500
F3 F 0.616 0.884 0.500
F4 F 0.884 0.384 0.500
# space-group type: P4/mbm, No. 127
# density of states at the Fermi level: 1.5 states/eV/f.u.
# magnetization: 9.4 Bohr magnetons per cell
# E_tot: -3.01 eV/atom
# calculated volume: 19.42 Å³/atom
# relative energy among the computed polymorphs: 0.329 eV per atom



# 4
# CdMo3F PBE+U relaxed
data_CdMo3F
_chemical_formula_sum 'Cd1 Mo3 F1'
_symmetry_space_group_name_H-M 'P 1'
_symmetry_Int_Tables_number 1
_symmetry_space_group_name_Hall 'P 1'
_cell_length_a 5.540
_cell_length_b 5.540
_cell_length_c 5.540
_cell_angle_alpha 90.00
_cell_angle_beta 90.00
_cell_angle_gamma 90.00
loop_
_atom_site_label
_atom_site_type_symbol
_atom_site_fract_x
_atom_site_fract_y
_atom_site_fract_z
Cd1 Cd 0.000 0.000 0.000
Mo1 Mo 0.000 0.000 0.500
Mo2 Mo 0.000 0.500 0.000
Mo3 Mo 0.500 0.000 0.000
F1 F 0.500 0.500 0.500
# space-group type: Pm-3m, No. 221
# density of states at the Fermi level: 2.5 states/eV/f.u.
# magnetization: 14.3 Bohr magnetons per cell
# E_tot: -3.24 eV/atom
# calculated volume: 34.01 Å³/atom
# relative energy among the computed polymorphs: 0.359 eV per atom